No. 1
Below is crystalline NdSm7Tm2 at its relaxed geometry, with properties calculated at the PBE level.

Output
**DFT formation energy**: 658.0 meV/atom
**Polymorph energy (0 for the lowest one)**: 639 meV/atom
**V**: 407.7 Å³/f.u.
**DFT total energy**: -40.2 eV/cell
**Total magnetic moment**: 0.0000 μB/atom
**Space group**: Cmmm, No. 65

The structure in CIF format:
```
data_NdSm7Tm2
_chemical_formula_sum 'Nd1 Sm7 Tm2'
_cell_length_a 9.1509
_cell_length_b 9.1509
_cell_length_c 5.7298
_cell_angle_alpha 90.00
_cell_angle_beta 90.00
_cell_angle_gamma 121.82
_space_group_name_H-M_alt 'P 1'
_space_group_IT_number 1
loop_
_space_group_symop_operation_xyz
'x,y,z'
loop_
_atom_site_label
_atom_site_fract_x
_atom_site_fract_y
_atom_site_fract_z
Nd1 0.0000 0.0000 0.0000
Sm1 0.0621 0.2957 0.5000
Sm2 0.2273 0.7727 0.0000
Sm3 0.2957 0.0621 0.5000
Sm4 0.5000 0.5000 0.5000
Sm5 0.7043 0.9379 0.5000
Sm6 0.7727 0.2273 0.0000
Sm7 0.9379 0.7043 0.5000
Tm1 0.2959 0.7041 0.5000
Tm2 0.7041 0.2959 0.5000
```

No. 2
Below is crystalline Cs2ScNi at its relaxed geometry, with properties calculated at the PBE level.

Output
**DFT formation energy**: 615.4 meV/atom
**Polymorph energy (0 for the lowest one)**: 0 meV/atom
**V**: 229.2 Å³/f.u.
**DFT total energy**: -22.7 eV/cell
**Total magnetic moment**: 0.0053 μB/atom
**Space group**: I-42d, No. 122

The structure in CIF format:
```
data_Cs2ScNi
_chemical_formula_sum 'Cs4 Sc2 Ni2'
_cell_length_a 10.1501
_cell_length_b 10.1501
_cell_length_c 10.1501
_cell_angle_alpha 93.08
_cell_angle_beta 93.08
_cell_angle_gamma 153.21
_space_group_name_H-M_alt 'P 1'
_space_group_IT_number 1
loop_
_space_group_symop_operation_xyz
'x,y,z'
loop_
_atom_site_label
_atom_site_fract_x
_atom_site_fract_y
_atom_site_fract_z
Cs1 0.3750 0.0514 0.1764
Cs2 0.8014 0.6250 0.6764
Cs3 0.8750 0.1986 0.8236
Cs4 0.9486 0.1250 0.3236
Sc1 0.2500 0.7500 0.5000
Sc2 0.5000 0.5000 0.0000
Ni1 0.0000 0.0000 0.0000
Ni2 0.7500 0.2500 0.5000
```

No. 3
Below is crystalline Ca2Sm2Tl7 at its relaxed geometry, with properties calculated at the PBE level.

Output
**DFT formation energy**: -11.7 meV/atom
**V**: 369.4 Å³/f.u.
**DFT total energy**: -30.1 eV/cell
**Total magnetic moment**: 0.0000 μB/atom
**Space group**: Cmmm, No. 65

The structure in CIF format:
```
data_Ca2Sm2Tl7
_chemical_formula_sum 'Ca2 Sm2 Tl7'
_cell_length_a 6.9830
_cell_length_b 6.9830
_cell_length_c 7.8369
_cell_angle_alpha 90.00
_cell_angle_beta 90.00
_cell_angle_gamma 104.84
_space_group_name_H-M_alt 'P 1'
_space_group_IT_number 1
loop_
_space_group_symop_operation_xyz
'x,y,z'
loop_
_atom_site_label
_atom_site_fract_x
_atom_site_fract_y
_atom_site_fract_z
Ca1 0.1953 0.1953 0.0000
Ca2 0.8047 0.8047 0.0000
Sm1 0.3010 0.6990 0.5000
Sm2 0.6990 0.3010 0.5000
Tl1 0.0000 0.0000 0.5000
Tl2 0.0000 0.5000 0.2028
Tl3 0.0000 0.5000 0.7972
Tl4 0.5000 0.0000 0.2028
Tl5 0.5000 0.0000 0.7972
Tl6 0.5000 0.5000 0.2127
Tl7 0.5000 0.5000 0.7873
```

No. 4
Below is crystalline Cu8PdPt6 at its relaxed geometry, with properties calculated at the PBE level.

Output
**DFT formation energy**: 51.6 meV/atom
**Polymorph energy (0 for the lowest one)**: 72 meV/atom
**V**: 213.2 Å³/f.u.
**DFT total energy**: -73.4 eV/cell
**Total magnetic moment**: 0.0000 μB/atom
**Space group**: R-3, No. 148

The structure in CIF format:
```
data_Cu8PdPt6
_chemical_formula_sum 'Cu8 Pd1 Pt6'
_cell_length_a 6.2398
_cell_length_b 6.2398
_cell_length_c 6.2398
_cell_angle_alpha 71.89
_cell_angle_beta 71.89
_cell_angle_gamma 71.89
_space_group_name_H-M_alt 'P 1'
_space_group_IT_number 1
loop_
_space_group_symop_operation_xyz
'x,y,z'
loop_
_atom_site_label
_atom_site_fract_x
_atom_site_fract_y
_atom_site_fract_z
Cu1 0.0442 0.8561 0.3956
Cu2 0.1439 0.6044 0.9558
Cu3 0.2451 0.2451 0.2451
Cu4 0.3956 0.0442 0.8561
Cu5 0.6044 0.9558 0.1439
Cu6 0.7549 0.7549 0.7549
Cu7 0.8561 0.3956 0.0442
Cu8 0.9558 0.1439 0.6044
Pd1 0.0000 0.0000 0.0000
Pt1 0.1747 0.4325 0.6221
Pt2 0.3779 0.8253 0.5675
Pt3 0.4325 0.6221 0.1747
Pt4 0.5675 0.3779 0.8253
Pt5 0.6221 0.1747 0.4325
Pt6 0.8253 0.5675 0.3779
```